Crystalline La7ErTl4 at its relaxed geometry. Source: the Alexandria database, functional PBE-GGA.

Lattice parameters (Å, degrees): 8.0652 8.0652 10.9784 121.11 121.11 43.83
Closest atoms and distances in Å follow each position.
Fractional coordinates of all 12 atoms:
La 0.0000 0.0000 0.0000  2 Er 3.01, 4 Tl 3.14-3.28
La 0.2206 0.2206 0.6559  4 Tl 3.14-3.29
La 0.2986 0.2986 0.1153  3 La 3.32-3.67, 4 Tl 3.50-3.60
La 0.4412 0.4412 0.6194  3 Tl 3.31-3.38, 2 La 3.32-3.54
La 0.5588 0.5588 0.3806  3 Tl 3.31-3.38, 2 La 3.32-3.54
La 0.7014 0.7014 0.8847  3 La 3.32-3.67, 4 Tl 3.50-3.60
La 0.7794 0.7794 0.3441  4 Tl 3.14-3.29
Er 0.5000 0.5000 0.0000  2 La 3.01
Tl 0.0589 0.0589 0.7532  6 La 3.14-3.50, 1 Tl 3.26
Tl 0.1876 0.1876 0.3337  5 La 3.14-3.31, 1 Tl 3.26
Tl 0.8124 0.8124 0.6663  5 La 3.14-3.31, 1 Tl 3.26
Tl 0.9411 0.9411 0.2468  6 La 3.14-3.50, 1 Tl 3.26

Results
N(E_F), states/eV per cell: 13.4
Formation energy, eV/f.u.: -1.34
Magnetic moment, μB/cell: 0.0
Calculated total energy, eV/f.u.: -49.865